Density functional theory data (GGA-PBE) for crystalline BaNaSrLi at its relaxed geometry.

Geometry as POSCAR:
```
BaNaSrLi
1.0
6.311 0.000 0.000
3.155 5.465 0.000
3.155 1.822 5.153
Ba Na Sr Li
1 1 1 1
direct
0.750 0.750 0.750 Ba
0.500 0.500 0.500 Na
0.250 0.250 0.250 Sr
0.000 0.000 0.000 Li
```

## Properties
Energy of formation (meV per atom): 32
Space group: F-43m (216)
D(E_F) (states/eV per atom): 1.172
M_tot (μB/f.u.): 0.00
Total DFT energy (no corrections) (eV/atom): -1.678
Density (g cm⁻³): 2.382